# Cu3Ni7Ir

Crystalline Cu3Ni7Ir at its relaxed geometry (PBE-GGA, Alexandria via LeMat-Bulk). Values from VASP.

volume: 142 Å³ per cell
DFT formation energy: 0.404 eV/atom
mass density: 9.30 g cm⁻³
E: -0.191 hartree per atom
space-group type: No. 12

```
&SYSTEM
  ibrav = 0, nat = 11, ntyp = 3
/
ATOMIC_SPECIES
Cu 63.55 Cu.upf
Ni 58.69 Ni.upf
Ir 192.22 Ir.upf
ATOMIC_POSITIONS angstrom
Cu 0.0000 0.0000 0.0000
Cu 3.1746 2.4077 2.0789
Cu 3.1746 -2.4077 2.0789
Ni 1.0936 2.1150 3.4303
Ni 0.7193 0.0000 2.2650
Ni 5.2557 2.1150 0.7274
Ni 3.1746 0.0000 2.0789
Ni 1.0936 -2.1150 3.4303
Ni 5.6299 0.0000 1.8927
Ni 5.2557 -2.1150 0.7274
Ir 4.1401 0.0000 0.0000
CELL_PARAMETERS angstrom
4.1401 -4.1143 0.0000
4.1401 4.1143 0.0000
-1.9310 0.0000 4.1577
```

# CuNi3Ir3

Crystalline CuNi3Ir3 at its relaxed geometry (PBE-GGA, Alexandria via LeMat-Bulk). Values from VASP.

volume: 293 Å³ per cell
DFT formation energy: 1.275 eV/atom
mass density: 9.24 g cm⁻³
E: -0.205 hartree per atom
space-group type: No. 176

```
&SYSTEM
  ibrav = 0, nat = 14, ntyp = 3
/
ATOMIC_SPECIES
Cu 63.55 Cu.upf
Ni 58.69 Ni.upf
Ir 192.22 Ir.upf
ATOMIC_POSITIONS angstrom
Cu 0.0000 5.0268 1.1169
Cu 4.3533 2.5134 3.3508
Ni -2.6887 6.5682 3.3508
Ni 0.0095 1.9276 3.3508
Ni 1.6741 0.9556 1.1169
Ni 2.6793 6.5846 3.3508
Ni 4.3439 5.6126 1.1169
Ni 7.0421 0.9720 1.1169
Ir -2.0603 6.2022 1.1169
Ir 0.0122 2.6548 1.1169
Ir 2.3052 1.3168 3.3508
Ir 2.0481 6.2234 1.1169
Ir 4.3411 4.8854 3.3508
Ir 6.4137 1.3380 3.3508
CELL_PARAMETERS angstrom
8.7067 0.0000 0.0000
-4.3533 7.5402 0.0000
0.0000 0.0000 4.4677
```

# CuNi4Ir

Crystalline CuNi4Ir at its relaxed geometry (PBE-GGA, Alexandria via LeMat-Bulk). Values from VASP.

volume: 70 Å³ per cell
DFT formation energy: 0.025 eV/atom
mass density: 11.59 g cm⁻³
offset from the most stable computed form: 0.00 eV per formula unit
E: -0.220 hartree per atom
space-group type: No. 12

```
&SYSTEM
  ibrav = 0, nat = 6, ntyp = 3
/
ATOMIC_SPECIES
Cu 63.55 Cu.upf
Ni 58.69 Ni.upf
Ir 192.22 Ir.upf
ATOMIC_POSITIONS angstrom
Cu 0.0000 0.0000 0.0000
Ni 1.4751 2.5324 2.0887
Ni 2.2045 1.2697 0.0000
Ni 2.2045 -1.2697 0.0000
Ni 1.4751 -2.5324 2.0887
Ir 1.4751 0.0000 2.0887
CELL_PARAMETERS angstrom
2.2045 -3.8152 0.0000
2.2045 3.8152 0.0000
-1.4588 0.0000 4.1774
```

# Cu2Ni7Ir2

Crystalline Cu2Ni7Ir2 at its relaxed geometry (PBE-GGA, Alexandria via LeMat-Bulk). Values from VASP.

volume: 130 Å³ per cell
DFT formation energy: 0.048 eV/atom
mass density: 11.75 g cm⁻³
offset from the most stable computed form: 0.00 eV per formula unit
E: -0.220 hartree per atom
space-group type: No. 2

```
&SYSTEM
  ibrav = 0, nat = 11, ntyp = 3
/
ATOMIC_SPECIES
Cu 63.55 Cu.upf
Ni 58.69 Ni.upf
Ir 192.22 Ir.upf
ATOMIC_POSITIONS angstrom
Cu -0.3631 1.3304 1.6842
Cu 2.6627 2.1599 3.6667
Ni -0.3487 -0.9994 2.6755
Ni -0.3527 3.7459 0.7547
Ni 0.4240 -1.4313 5.1153
Ni 0.4409 3.3263 3.1802
Ni 1.8587 0.1640 2.1707
Ni 1.8756 4.9215 0.2357
Ni 2.6523 -0.2556 4.5963
Ir 0.4311 0.9201 4.1387
Ir 1.8686 2.5702 1.2122
CELL_PARAMETERS angstrom
4.4380 0.0000 0.0000
-1.4409 5.4890 0.0000
-0.6974 -1.9987 5.3510
```

# Cu2Ni6Ir

Crystalline Cu2Ni6Ir at its relaxed geometry (PBE-GGA, Alexandria via LeMat-Bulk). Values from VASP.

volume: 107 Å³ per cell
DFT formation energy: 0.192 eV/atom
mass density: 10.42 g cm⁻³
offset from the most stable computed form: 0.94 eV per formula unit
E: -0.204 hartree per atom
space-group type: No. 162

```
&SYSTEM
  ibrav = 0, nat = 9, ntyp = 3
/
ATOMIC_SPECIES
Cu 63.55 Cu.upf
Ni 58.69 Ni.upf
Ir 192.22 Ir.upf
ATOMIC_POSITIONS angstrom
Cu 0.0000 4.0718 0.0000
Cu 3.5263 2.0359 0.0000
Ni -1.2012 2.0806 1.7947
Ni -2.3251 4.0271 0.6906
Ni 2.4025 0.0000 1.7947
Ni 1.2012 2.0806 0.6906
Ni 4.6501 0.0000 0.6906
Ni 2.3251 4.0271 1.7947
Ir 0.0000 0.0000 1.2427
CELL_PARAMETERS angstrom
7.0526 0.0000 0.0000
-3.5263 6.1077 0.0000
0.0000 0.0000 2.4853
```

# CuNi6Ir2

Crystalline CuNi6Ir2 at its relaxed geometry (PBE-GGA, Alexandria via LeMat-Bulk). Values from VASP.

volume: 109 Å³ per cell
DFT formation energy: 0.087 eV/atom
mass density: 12.16 g cm⁻³
E: -0.228 hartree per atom
space-group type: No. 12

```
&SYSTEM
  ibrav = 0, nat = 9, ntyp = 3
/
ATOMIC_SPECIES
Cu 63.55 Cu.upf
Ni 58.69 Ni.upf
Ir 192.22 Ir.upf
ATOMIC_POSITIONS angstrom
Cu 0.0000 0.0000 0.0000
Ni 0.7887 0.0000 4.3498
Ni 2.2950 0.0000 1.0580
Ni 3.0711 0.0000 7.8761
Ni 4.6195 0.0000 2.1518
Ni 5.3956 0.0000 8.9699
Ni 6.9019 0.0000 5.6780
Ir 0.7584 0.0000 6.8342
Ir 6.9323 0.0000 3.1936
CELL_PARAMETERS angstrom
4.2089 -1.2940 0.0000
4.2089 1.2940 0.0000
-0.7272 0.0000 10.0278
```

# CuNiIr2

Crystalline CuNiIr2 at its relaxed geometry (PBE-GGA, Alexandria via LeMat-Bulk). Values from VASP.

volume: 53 Å³ per cell
DFT formation energy: 0.057 eV/atom
mass density: 15.94 g cm⁻³
offset from the most stable computed form: 0.02 eV per formula unit
E: -0.251 hartree per atom
space-group type: No. 12

```
&SYSTEM
  ibrav = 0, nat = 4, ntyp = 3
/
ATOMIC_SPECIES
Cu 63.55 Cu.upf
Ni 58.69 Ni.upf
Ir 192.22 Ir.upf
ATOMIC_POSITIONS angstrom
Cu 0.0000 0.0000 0.0000
Ni 3.8680 0.0000 2.2857
Ir 1.4717 0.0000 3.4097
Ir 6.2643 0.0000 1.1616
CELL_PARAMETERS angstrom
4.2945 -1.3444 0.0000
4.2945 1.3444 0.0000
-0.8531 0.0000 4.5713
```

# CuNi3Ir2

Crystalline CuNi3Ir2 at its relaxed geometry (PBE-GGA, Alexandria via LeMat-Bulk). Values from VASP.

volume: 149 Å³ per cell
DFT formation energy: 0.036 eV/atom
mass density: 13.93 g cm⁻³
E: -0.239 hartree per atom
space-group type: No. 70

```
&SYSTEM
  ibrav = 0, nat = 12, ntyp = 3
/
ATOMIC_SPECIES
Cu 63.55 Cu.upf
Ni 58.69 Ni.upf
Ir 192.22 Ir.upf
ATOMIC_POSITIONS angstrom
Cu 0.6453 0.9309 1.9352
Cu 4.5172 6.5166 13.5461
Ni 1.9360 2.7928 0.6769
Ni 3.2266 4.6547 4.5472
Ni 1.9360 2.7928 5.8055
Ni 3.2266 4.6547 9.6758
Ni 1.9360 2.7928 10.9341
Ni 3.2266 4.6547 14.8044
Ir 1.9360 2.7928 3.2603
Ir 3.2266 4.6547 7.1306
Ir 1.9360 2.7928 8.3507
Ir 3.2266 4.6547 12.2210
CELL_PARAMETERS angstrom
0.0000 3.7238 7.7407
2.5813 0.0000 7.7407
2.5813 3.7238 0.0000
```

# Cu2Ni5Ir

Crystalline Cu2Ni5Ir at its relaxed geometry (PBE-GGA, Alexandria via LeMat-Bulk). Values from VASP.

volume: 93 Å³ per cell
DFT formation energy: 0.025 eV/atom
mass density: 10.97 g cm⁻³
E: -0.210 hartree per atom
space-group type: No. 12

```
&SYSTEM
  ibrav = 0, nat = 8, ntyp = 3
/
ATOMIC_SPECIES
Cu 63.55 Cu.upf
Ni 58.69 Ni.upf
Ir 192.22 Ir.upf
ATOMIC_POSITIONS angstrom
Cu 0.0000 0.0000 0.0000
Cu -1.7841 0.0000 1.8020
Ni 1.7938 1.7942 0.0000
Ni 0.0097 1.7942 1.8020
Ni 1.7938 -1.7942 0.0000
Ni 0.0097 -1.7942 1.8020
Ni 3.5876 0.0000 0.0000
Ir 1.8035 0.0000 1.8020
CELL_PARAMETERS angstrom
3.5876 -3.5883 0.0000
3.5876 3.5883 0.0000
-3.5683 0.0000 3.6040
```

# Cu2Ni7Ir2

Crystalline Cu2Ni7Ir2 at its relaxed geometry (PBE-GGA, Alexandria via LeMat-Bulk). Values from VASP.

volume: 153 Å³ per cell
DFT formation energy: 0.562 eV/atom
mass density: 10.03 g cm⁻³
offset from the most stable computed form: 5.66 eV per formula unit
E: -0.201 hartree per atom
space-group type: No. 65

```
&SYSTEM
  ibrav = 0, nat = 11, ntyp = 3
/
ATOMIC_SPECIES
Cu 63.55 Cu.upf
Ni 58.69 Ni.upf
Ir 192.22 Ir.upf
ATOMIC_POSITIONS angstrom
Cu 3.3892 2.3636 0.0000
Cu 3.3892 -2.3636 0.0000
Ni 0.0000 0.0000 1.5617
Ni 0.0000 0.0000 3.9261
Ni 1.6946 2.0532 1.5490
Ni 1.6946 2.0532 3.9388
Ni 1.6946 -2.0532 1.5490
Ni 1.6946 -2.0532 3.9388
Ni 3.3892 0.0000 0.0000
Ir 2.2147 0.0000 2.7439
Ir 4.5637 0.0000 2.7439
CELL_PARAMETERS angstrom
3.3892 -4.1064 0.0000
3.3892 4.1064 0.0000
0.0000 0.0000 5.4878
```

# NpCuNiIr

Crystalline NpCuNiIr at its relaxed geometry (PBE-GGA, Alexandria via LeMat-Bulk). Values from VASP.

volume: 64 Å³ per cell
DFT formation energy: -0.003 eV/atom
mass density: 14.30 g cm⁻³
E: -0.291 hartree per atom
space-group type: No. 216

```
&SYSTEM
  ibrav = 0, nat = 4, ntyp = 4
/
ATOMIC_SPECIES
Np 237.00 Np.upf
Cu 63.55 Cu.upf
Ni 58.69 Ni.upf
Ir 192.22 Ir.upf
ATOMIC_POSITIONS angstrom
Np 0.0000 0.0000 0.0000
Cu 3.1756 3.1756 3.1756
Ni 4.7634 4.7634 4.7634
Ir 1.5878 1.5878 1.5878
CELL_PARAMETERS angstrom
0.0000 3.1756 3.1756
3.1756 0.0000 3.1756
3.1756 3.1756 0.0000
```